#w
{"formula": "TbPmSmAg", "functional": "PBE", "state": "relaxed", "cell": [[3.657, 0.000, 0.000], [0.000, 3.657, 0.000], [0.000, 0.000, 8.826]], "species": ["Tb", "Pm", "Sm", "Ag"], "frac_coords": [[0.000, 0.000, 0.000], [0.500, 0.500, 0.713], [0.000, 0.000, 0.422], [0.500, 0.500, 0.202]]}

#x
{"formula": "TbPmSmAg", "functional": "PBE", "state": "relaxed", "cell": [[0.000, 3.860, 3.860], [3.860, 0.000, 3.860], [3.860, 3.860, 0.000]], "species": ["Tb", "Pm", "Sm", "Ag"], "frac_coords": [[0.000, 0.000, 0.000], [0.750, 0.750, 0.750], [0.500, 0.500, 0.500], [0.250, 0.250, 0.250]]}

Stability check: which of them is least stable? #x.

#w
{"formula": "PmSmYAg", "functional": "PBE", "state": "relaxed", "cell": [[3.668, 0.000, 0.000], [0.000, 3.668, 0.000], [0.000, 0.000, 8.752]], "species": ["Pm", "Sm", "Y", "Ag"], "frac_coords": [[0.000, 0.000, 0.000], [0.500, 0.500, 0.710], [0.500, 0.500, 0.289], [0.000, 0.000, 0.491]]}

#x
{"formula": "PmSmYAg", "functional": "PBE", "state": "relaxed", "cell": [[0.000, 3.862, 3.862], [3.862, 0.000, 3.862], [3.862, 3.862, 0.000]], "species": ["Pm", "Sm", "Y", "Ag"], "frac_coords": [[0.000, 0.000, 0.000], [0.750, 0.750, 0.750], [0.250, 0.250, 0.250], [0.500, 0.500, 0.500]]}

Stability check: which of them is least stable? #x.

#w
{"formula": "Pm3Ag2Sn", "functional": "PBE", "state": "relaxed", "cell": [[3.672, 0.000, 0.000], [0.000, 3.672, 0.000], [0.000, 0.000, 11.891]], "species": ["Pm", "Pm", "Pm", "Ag", "Ag", "Sn"], "frac_coords": [[0.000, 0.000, 0.000], [0.000, 0.000, 0.325], [0.000, 0.000, 0.675], [0.500, 0.500, 0.155], [0.500, 0.500, 0.845], [0.500, 0.500, 0.500]]}

#x
{"formula": "Pm3Ag2Sn", "functional": "PBE", "state": "relaxed", "cell": [[2.658, -8.081, 0.000], [2.658, 8.081, 0.000], [0.000, 0.000, 3.767]], "species": ["Pm", "Pm", "Pm", "Ag", "Ag", "Sn"], "frac_coords": [[0.000, 0.000, 0.000], [0.332, 0.668, 0.000], [0.668, 0.332, 0.000], [0.171, 0.829, 0.500], [0.829, 0.171, 0.500], [0.500, 0.500, 0.500]]}

Stability check: which of them is least stable? #w.

#w
{"formula": "PmAg3Sn3", "functional": "PBE", "state": "relaxed", "cell": [[7.524, 0.000, 0.000], [0.000, 7.524, 0.000], [0.000, 0.000, 7.524]], "species": ["Pm", "Pm", "Ag", "Ag", "Ag", "Ag", "Ag", "Ag", "Sn", "Sn", "Sn", "Sn", "Sn", "Sn"], "frac_coords": [[0.000, 0.000, 0.000], [0.500, 0.500, 0.500], [0.000, 0.250, 0.500], [0.000, 0.750, 0.500], [0.250, 0.500, 0.000], [0.500, 0.000, 0.250], [0.500, 0.000, 0.750], [0.750, 0.500, 0.000], [0.000, 0.500, 0.250], [0.000, 0.500, 0.750], [0.250, 0.000, 0.500], [0.500, 0.250, 0.000], [0.500, 0.750, 0.000], [0.750, 0.000, 0.500]]}

#x
{"formula": "PmAg3Sn3", "functional": "PBE", "state": "relaxed", "cell": [[4.286, 2.475, 5.950], [-4.286, 2.475, 5.950], [0.000, -4.950, 5.950]], "species": ["Pm", "Pm", "Ag", "Ag", "Ag", "Ag", "Ag", "Ag", "Sn", "Sn", "Sn", "Sn", "Sn", "Sn"], "frac_coords": [[0.168, 0.168, 0.168], [0.832, 0.832, 0.832], [0.081, 0.417, 0.746], [0.254, 0.919, 0.583], [0.417, 0.746, 0.081], [0.583, 0.254, 0.919], [0.746, 0.081, 0.417], [0.919, 0.583, 0.254], [0.090, 0.741, 0.412], [0.259, 0.588, 0.910], [0.412, 0.090, 0.741], [0.588, 0.910, 0.259], [0.741, 0.412, 0.090], [0.910, 0.259, 0.588]]}

Stability check: which of them is least stable? #w.

#w
{"formula": "Pm2Ag2Sn", "functional": "PBE", "state": "relaxed", "cell": [[5.248, -3.015, 0.000], [5.248, 3.015, 0.000], [-2.247, 0.000, 8.021]], "species": ["Pm", "Pm", "Pm", "Pm", "Ag", "Ag", "Ag", "Ag", "Sn", "Sn"], "frac_coords": [[0.017, 0.290, 0.149], [0.290, 0.017, 0.649], [0.710, 0.983, 0.351], [0.983, 0.710, 0.851], [0.235, 0.499, 0.510], [0.499, 0.235, 0.010], [0.501, 0.765, 0.990], [0.765, 0.501, 0.490], [0.303, 0.697, 0.250], [0.697, 0.303, 0.750]]}

#x
{"formula": "Pm2Ag2Sn", "functional": "PBE", "state": "relaxed", "cell": [[5.655, -2.281, 0.000], [5.655, 2.281, 0.000], [-4.824, 0.000, 10.186]], "species": ["Pm", "Pm", "Pm", "Pm", "Ag", "Ag", "Ag", "Ag", "Sn", "Sn"], "frac_coords": [[0.015, 0.015, 0.339], [0.188, 0.188, 0.103], [0.812, 0.812, 0.897], [0.985, 0.985, 0.661], [0.362, 0.362, 0.447], [0.467, 0.467, 0.109], [0.533, 0.533, 0.891], [0.638, 0.638, 0.553], [0.280, 0.280, 0.672], [0.720, 0.720, 0.328]]}

Stability check: which of them is least stable? #x.

#w
{"formula": "SrPmAg4", "functional": "PBE", "state": "relaxed", "cell": [[3.775, 0.000, 0.000], [0.000, 4.902, 0.000], [0.000, 0.000, 8.209]], "species": ["Sr", "Pm", "Ag", "Ag", "Ag", "Ag"], "frac_coords": [[0.000, 0.000, 0.000], [0.000, 0.500, 0.500], [0.500, 0.000, 0.335], [0.500, 0.000, 0.665], [0.500, 0.500, 0.174], [0.500, 0.500, 0.826]]}

#x
{"formula": "SrPmAg4", "functional": "PBE", "state": "relaxed", "cell": [[0.000, 4.145, 4.145], [4.145, 0.000, 4.145], [4.145, 4.145, 0.000]], "species": ["Sr", "Pm", "Ag", "Ag", "Ag", "Ag"], "frac_coords": [[0.000, 0.000, 0.000], [0.750, 0.750, 0.750], [0.375, 0.375, 0.375], [0.375, 0.375, 0.875], [0.375, 0.875, 0.375], [0.875, 0.375, 0.375]]}

Stability check: which of them is least stable? #x.